A relaxed Cs2LiAsSe4 crystal. Source: Alexandria via LeMat-Bulk, functional PBE.

Values from the calculation:
size of the total moment = 0.00 μB per cell
formation energy from raw total energies = -815.3 meV per atom
calculated total energy = -3.59 eV per atom

Cell: 6.267 7.912 13.390 Å, 84.68 76.47 66.67°
Positions (direct):
Cs 0.180 0.000 0.640
Cs 0.820 0.000 0.360
Cs 0.570 0.500 0.860
Cs 0.930 0.500 0.140
Li 0.750 0.500 0.500
Li 0.000 0.000 0.000
As 0.250 0.500 0.500
As 0.500 0.000 0.000
Se 0.324 0.812 0.102
Se 0.238 0.188 0.898
Se 0.864 0.812 0.898
Se 0.574 0.188 0.102
Se 0.426 0.688 0.398
Se 0.512 0.312 0.602
Se 0.886 0.688 0.602
Se 0.176 0.312 0.398